Entry 1:
! Li3ReO4 | the Open Quantum Materials Database | GGA-PBE | optimized geometry; values from VASP
&SYSTEM
  ibrav = 0, nat = 32, ntyp = 3
/
ATOMIC_SPECIES
O 16.00 O.upf
Li 6.94 Li.upf
Re 186.21 Re.upf
CELL_PARAMETERS angstrom
4.911 0.000 0.000
0.000 11.859 0.000
-1.452 0.000 4.914
ATOMIC_POSITIONS crystal
O 0.778 0.886 0.784
O 0.742 0.502 0.258
O 0.770 0.763 0.229
O 0.272 0.121 0.287
O 0.741 0.236 0.239
O 0.222 0.886 0.216
O 0.728 0.121 0.713
O 0.221 0.350 0.224
O 0.762 0.650 0.768
O 0.238 0.650 0.232
O 0.752 0.001 0.253
O 0.230 0.763 0.771
O 0.248 0.001 0.747
O 0.259 0.236 0.761
O 0.779 0.350 0.776
O 0.258 0.502 0.742
Li 0.000 0.481 0.000
Li 0.500 0.873 0.000
Li 0.000 0.127 0.500
Li 0.500 0.401 0.000
Li 0.500 0.753 0.500
Li 0.000 0.878 0.500
Li 0.500 0.496 0.500
Li 0.000 0.598 0.500
Li 0.500 0.986 0.500
Li 0.500 0.597 0.000
Li 0.000 0.402 0.500
Li 0.500 0.267 0.500
Re 0.000 0.744 0.000
Re 0.000 0.239 0.000
Re 0.500 0.117 0.000
Re 0.000 0.019 0.000
! - SG: P2 (3)
! - Polymorph energy (0 for the lowest one): 69.4 meV/atom

Entry 2:
! Li2ReSnO6 | the Open Quantum Materials Database | GGA-PBE | optimized geometry; values from VASP
&SYSTEM
  ibrav = 0, nat = 20, ntyp = 4
/
ATOMIC_SPECIES
Re 186.21 Re.upf
Sn 118.71 Sn.upf
O 16.00 O.upf
Li 6.94 Li.upf
CELL_PARAMETERS angstrom
-4.674 0.471 1.293
-0.772 -5.068 -0.944
2.053 -1.820 8.087
ATOMIC_POSITIONS crystal
Re 0.000 0.000 0.903
Re 0.500 0.500 0.403
Sn 0.000 0.500 0.095
Sn 0.500 0.000 0.595
O 0.208 0.157 0.074
O 0.286 0.188 0.410
O 0.786 0.312 0.910
O 0.292 0.657 0.574
O 0.737 0.336 0.256
O 0.792 0.843 0.074
O 0.708 0.343 0.574
O 0.714 0.812 0.410
O 0.263 0.664 0.256
O 0.237 0.164 0.756
O 0.214 0.688 0.910
O 0.763 0.836 0.756
Li 0.500 0.500 0.798
Li 0.500 0.000 0.195
Li 0.000 0.500 0.695
Li 0.000 0.000 0.298
! - SG: Pnn2 (34)
! - DFT total energy: -6.683 eV/atom